# Hf8Sn2Sb | Alexandria via LeMat-Bulk | PBE | optimized geometry
# Total moment, μB per formula unit: 0.000
# Crystal system: monoclinic
# Raw formation energy, eV per atom: -0.24
data_Hf8Sn2Sb
_chemical_formula_sum 'Hf16 Sn4 Sb2'
_cell_length_a 15.810
_cell_length_b 4.398
_cell_length_c 7.382
_cell_angle_alpha 90.00
_cell_angle_beta 109.63
_cell_angle_gamma 90.00
_space_group_name_H-M_alt 'C 1 2/m 1'
_space_group_IT_number 12
_space_group_name_Hall '-C 2y'
loop_
_atom_site_label
_atom_site_fract_x
_atom_site_fract_y
_atom_site_fract_z
Hf1 0.046 0.000 0.243
Hf2 0.089 0.500 0.950
Hf3 0.142 0.000 0.697
Hf4 0.181 0.500 0.418
Sn1 0.220 0.000 0.150
Sb1 0.000 0.500 0.500